This record from the Alexandria database describes a relaxed Li2BeSbO4 crystal. The functional is PBE-GGA.

- ΔE_f (raw) (meV per atom) = -1827

Cell lengths 4.589, 4.589, 8.405 Å; angles 90.00, 90.00, 90.00 degrees
Space group I-4 (No. 82)
Unique sites:
Li: 0.000 0.000 0.000 x2
Li: 0.000 0.500 0.250 x2
Be: 0.000 0.500 0.750 x2
Sb: 0.000 0.000 0.500 x2
O: 0.213 0.719 0.860 x8

This record from the Alexandria database describes a relaxed La2InCu3Sn4 crystal. The functional is PBE-GGA.

- formation energy from the elements (eV per atom) = -0.410

Cell lengths 4.562, 4.562, 11.248 Å; angles 90.00, 90.00, 90.00 degrees
Space group P-4m2 (No. 115)
Unique sites:
La: 0.000 0.500 0.241 x2
In: 0.000 0.000 0.500 x1
Cu: 0.000 0.500 0.875 x2
Cu: 0.500 0.500 0.500 x1
Sn: 0.000 0.000 0.000 x1
Sn: 0.000 0.500 0.650 x2
Sn: 0.500 0.500 0.000 x1